Record 1
! PBE NdEuPuMg, relaxed; values from VASP
&SYSTEM
  ibrav = 0, nat = 4, ntyp = 4
/
ATOMIC_SPECIES
Nd 144.24 Nd.upf
Eu 151.96 Eu.upf
Pu 244.00 Pu.upf
Mg 24.30 Mg.upf
CELL_PARAMETERS angstrom
0.000 3.983 3.983
3.983 0.000 3.983
3.983 3.983 0.000
ATOMIC_POSITIONS crystal
Nd 0.000 0.000 0.000
Eu 0.500 0.500 0.500
Pu 0.250 0.250 0.250
Mg 0.750 0.750 0.750
! Density of states at the Fermi level in states/eV/f.u.: 14.72
! V in Å³/f.u.: 126.37
! Space group: No. 216
! Energy of formation in eV/atom: 0.19


Record 2
! PBE NdEuMgRu, relaxed; values from VASP
&SYSTEM
  ibrav = 0, nat = 4, ntyp = 4
/
ATOMIC_SPECIES
Nd 144.24 Nd.upf
Eu 151.96 Eu.upf
Mg 24.30 Mg.upf
Ru 101.07 Ru.upf
CELL_PARAMETERS angstrom
0.000 3.655 3.655
3.655 0.000 3.655
3.655 3.655 0.000
ATOMIC_POSITIONS crystal
Nd 0.000 0.000 0.000
Eu 0.500 0.500 0.500
Mg 0.750 0.750 0.750
Ru 0.250 0.250 0.250
! Density of states at the Fermi level in states/eV/f.u.: 2.33
! V in Å³/f.u.: 97.62
! Space group: No. 216
! Energy of formation in eV/atom: 0.02


Record 3
! PBE NdEuMgSi, relaxed; values from VASP
&SYSTEM
  ibrav = 0, nat = 4, ntyp = 4
/
ATOMIC_SPECIES
Nd 144.24 Nd.upf
Eu 151.96 Eu.upf
Mg 24.30 Mg.upf
Si 28.09 Si.upf
CELL_PARAMETERS angstrom
0.000 3.733 3.733
3.733 0.000 3.733
3.733 3.733 0.000
ATOMIC_POSITIONS crystal
Nd 0.000 0.000 0.000
Eu 0.500 0.500 0.500
Mg 0.750 0.750 0.750
Si 0.250 0.250 0.250
! Density of states at the Fermi level in states/eV/f.u.: 2.37
! V in Å³/f.u.: 104.01
! Space group: No. 216
! ΔE_f (raw) in eV per formula unit: -1.00


Record 4
! PBE NdSmEuMg, relaxed; values from VASP
&SYSTEM
  ibrav = 0, nat = 4, ntyp = 4
/
ATOMIC_SPECIES
Nd 144.24 Nd.upf
Sm 150.36 Sm.upf
Eu 151.96 Eu.upf
Mg 24.30 Mg.upf
CELL_PARAMETERS angstrom
0.000 4.024 4.024
4.024 0.000 4.024
4.024 4.024 0.000
ATOMIC_POSITIONS crystal
Nd 0.000 0.000 0.000
Sm 0.500 0.500 0.500
Eu 0.250 0.250 0.250
Mg 0.750 0.750 0.750
! Density of states at the Fermi level in states/eV/f.u.: 3.77
! V in Å³/f.u.: 130.29
! Space group: No. 216
! Energy of formation in eV/atom: 0.05


Record 5
! PBE NdEuMgSn, relaxed; values from VASP
&SYSTEM
  ibrav = 0, nat = 4, ntyp = 4
/
ATOMIC_SPECIES
Nd 144.24 Nd.upf
Eu 151.96 Eu.upf
Mg 24.30 Mg.upf
Sn 118.71 Sn.upf
CELL_PARAMETERS angstrom
0.000 3.887 3.887
3.887 0.000 3.887
3.887 3.887 0.000
ATOMIC_POSITIONS crystal
Nd 0.000 0.000 0.000
Eu 0.500 0.500 0.500
Mg 0.250 0.250 0.250
Sn 0.750 0.750 0.750
! Density of states at the Fermi level in states/eV/f.u.: 2.76
! V in Å³/f.u.: 117.48
! Space group: No. 216
! Energy of formation in eV/atom: -0.42


Record 6
! PBE TbNdEuMg, relaxed; values from VASP
&SYSTEM
  ibrav = 0, nat = 4, ntyp = 4
/
ATOMIC_SPECIES
Tb 158.93 Tb.upf
Nd 144.24 Nd.upf
Eu 151.96 Eu.upf
Mg 24.30 Mg.upf
CELL_PARAMETERS angstrom
0.000 4.002 4.002
4.002 0.000 4.002
4.002 4.002 0.000
ATOMIC_POSITIONS crystal
Tb 0.000 0.000 0.000
Nd 0.500 0.500 0.500
Eu 0.250 0.250 0.250
Mg 0.750 0.750 0.750
! Density of states at the Fermi level in states/eV/f.u.: 3.69
! V in Å³/f.u.: 128.17
! Space group: No. 216
! Energy of formation in eV/atom: 0.06